# 1
VASP calculation (PBE) on a relaxed NdAlGaPd crystal.

Values from the calculation:
Total magnetization: 0.000 μB per atom
Excess energy over the best structure of this formula in the dataset: 136 meV/atom
ΔE_f: -0.579 eV/atom

Cell: 4.823 4.823 4.823 Å, 60.00 60.00 60.00°
Fractional positions:
Al (0.500, 0.500, 0.500)
Ga (0.250, 0.250, 0.250)
Pd (0.750, 0.750, 0.750)
Nd (0.000, 0.000, 0.000)

***

# 2
VASP calculation (PBE) on a relaxed Nd2AlGa3Pd4 crystal.

Values from the calculation:
Total magnetization: 0.000 μB per atom
ΔE_f: -0.819 eV/atom

Cell: 4.355 4.355 10.240 Å, 90.00 90.00 90.00°
Fractional positions:
Pd (0.000, 0.500, 0.371)
Pd (0.000, 0.000, 0.000)
Pd (0.500, 0.500, 0.000)
Pd (0.500, 0.000, 0.629)
Nd (0.000, 0.500, 0.750)
Nd (0.500, 0.000, 0.250)
Ga (0.000, 0.500, 0.128)
Ga (0.500, 0.000, 0.872)
Ga (0.000, 0.000, 0.500)
Al (0.500, 0.500, 0.500)

***

# 3
VASP calculation (PBE) on a relaxed Pm2NdAl2Ga2 crystal.

Values from the calculation:
Total magnetization: 0.060 μB per atom
ΔE_f: -0.427 eV/atom

Cell: 4.301 4.301 11.561 Å, 79.28 79.28 60.00°
Fractional positions:
Al (0.394, 0.394, 0.818)
Al (0.606, 0.606, 0.182)
Ga (0.735, 0.735, 0.794)
Ga (0.265, 0.265, 0.206)
Pm (0.124, 0.124, 0.627)
Pm (0.876, 0.876, 0.373)
Nd (0.000, 0.000, 0.000)

***

# 4
VASP calculation (PBE) on a relaxed Pm2Nd2AlGa4 crystal.

Values from the calculation:
Total magnetization: 0.000 μB per atom
ΔE_f: -0.291 eV/atom

Cell: 6.757 6.757 6.757 Å, 96.52 116.31 116.31°
Fractional positions:
Ga (0.491, 0.246, 0.246)
Ga (0.000, 0.754, 0.246)
Ga (0.509, 0.754, 0.754)
Ga (0.000, 0.246, 0.754)
Pm (0.000, 0.314, 0.314)
Pm (0.000, 0.686, 0.686)
Al (0.000, 0.000, 0.000)
Nd (0.500, 0.250, 0.750)
Nd (0.500, 0.750, 0.250)

***

# 5
VASP calculation (PBE) on a relaxed PmNdAlGa crystal.

Values from the calculation:
Total magnetization: 0.001 μB per atom
Excess energy over the best structure of this formula in the dataset: 0 meV/atom
ΔE_f: -0.478 eV/atom

Cell: 4.493 4.199 6.120 Å, 90.00 111.53 90.00°
Fractional positions:
Nd (0.141, 0.000, 0.281)
Ga (0.571, 0.500, 0.141)
Pm (0.857, 0.500, 0.714)
Al (0.432, 0.000, 0.864)

***

# 6
VASP calculation (PBE) on a relaxed PmNd2Al2Ga2 crystal.

Values from the calculation:
Total magnetization: 0.072 μB per atom
ΔE_f: -0.430 eV/atom

Cell: 4.297 4.297 11.655 Å, 79.38 79.38 60.00°
Fractional positions:
Nd (0.124, 0.124, 0.629)
Nd (0.876, 0.876, 0.371)
Ga (0.267, 0.267, 0.198)
Ga (0.733, 0.733, 0.802)
Pm (0.000, 0.000, 0.000)
Al (0.607, 0.607, 0.180)
Al (0.393, 0.393, 0.820)

***

Question: Look up the ΔE_f of the fourth one.
Answer: -0.291 eV/atom

***

Question: What is the formula in the third record?
Answer: Pm2NdAl2Ga2

***

Question: total magnetization of number 5 (PmNdAlGa)?
Answer: 0.001 μB per atom